! Zn2Cu8Au3, optimized geometry, DFT PBE; values from VASP
! * formation energy: 5.8 kJ per mole of atoms
! * space-group type: R-3m
! * M_tot: 0.00 μB/atom
&SYSTEM
  ibrav = 0, nat = 13, ntyp = 3
/
ATOMIC_SPECIES
Zn 65.41 Zn.upf
Cu 63.55 Cu.upf
Au 196.97 Au.upf
CELL_PARAMETERS angstrom
2.4041 1.3880 9.4740
-2.4041 1.3880 9.4740
0.0000 -2.7760 9.4740
ATOMIC_POSITIONS crystal
Zn 0.1404 0.1404 0.1404
Zn 0.8596 0.8596 0.8596
Cu 0.2260 0.2260 0.2260
Cu 0.2338 0.2338 0.7330
Cu 0.2338 0.7330 0.2338
Cu 0.2670 0.7662 0.7662
Cu 0.7330 0.2338 0.2338
Cu 0.7662 0.2670 0.7662
Cu 0.7662 0.7662 0.2670
Cu 0.7740 0.7740 0.7740
Au 0.3173 0.3173 0.3173
Au 0.5000 0.5000 0.5000
Au 0.6827 0.6827 0.6827